No. 1
This record from the Alexandria database describes a relaxed structure of PdF. The functional is PBE.

Cell: 4.8868 4.8868 4.8868 Å, 90.00 90.00 90.00°
With the nearest neighbours (Å) after each atom.
Space group Fm-3m (No. 225)
Symmetry-distinct sites (fractional):
Pd 0.0000 0.0000 0.0000 x4  6 F 2.44
F 0.0000 0.0000 0.5000 x4  6 Pd 2.44

## Properties
The value obtained for the formation energy (no corrections) is -0.6 eV/f.u. The value obtained for the density is 7.1 g cm⁻³. The density of states at the Fermi level is 8.49 states/eV per cell.



No. 2
This record from the Alexandria database describes a relaxed structure of Ac2Al2Ru2C. The functional is PBE.

Cell: 11.6922 4.4181 7.7237 Å, 90.00 130.16 90.00°
With the nearest neighbours (Å) after each atom.
Space group C2/m (No. 12)
Symmetry-distinct sites (fractional):
Ac 0.0589 0.0000 0.3221 x4  2 C 2.91
Al 0.1747 0.5000 0.1045 x4  3 Ru 2.52-2.53
Ru 0.1910 0.5000 0.7939 x4  1 C 1.90
C 0.0000 0.5000 0.5000 x2  2 Ru 1.90

## Properties
Its formation enthalpy at 0 K is -0.405 eV per atom. The value obtained for the density is 7.9 g cm⁻³. The density of states at the Fermi level is 8.82 states/eV per cell.



No. 3
This record from the Alexandria database describes a relaxed structure of Dy4MgRh5. The functional is PBE.

Cell: 3.3916 3.3916 16.6183 Å, 90.00 90.00 90.00°
With the nearest neighbours (Å) after each atom.
Space group P4/mmm (No. 123)
Symmetry-distinct sites (fractional):
Dy 0.0000 0.0000 0.1038 x2  8 Rh 2.94-2.95
Dy 0.0000 0.0000 0.3114 x2  8 Rh 2.91-2.97, 1 Mg 3.13
Mg 0.0000 0.0000 0.5000 x1  8 Rh 2.82, 2 Dy 3.13
Rh 0.5000 0.5000 0.0000 x1  8 Dy 2.95
Rh 0.5000 0.5000 0.2057 x2  8 Dy 2.94-2.97
Rh 0.5000 0.5000 0.4103 x2  4 Mg 2.82, 4 Dy 2.91, 1 Rh 2.98

## Properties
Its formation enthalpy at 0 K is -0.802 eV per atom. The value obtained for the density is 10.3 g cm⁻³. The density of states at the Fermi level is 4.57 states/eV per cell.



No. 4
This record from the Alexandria database describes a relaxed structure of AcMgNi2H6. The functional is PBE.

Cell: 4.5968 4.5968 16.4322 Å, 90.00 90.00 120.00°
With the nearest neighbours (Å) after each atom.
Space group R-3m (No. 166, hexagonal axes)
Symmetry-distinct sites (fractional):
Ac 0.0000 0.0000 0.0000 x3  12 H 2.60
Mg 0.0000 0.0000 0.5000 x3  6 H 2.04
Ni 0.0000 0.0000 0.2087 x6  3 H 1.55
H 0.0051 0.5026 0.9264 x18  1 Ni 1.55

## Properties
The value obtained for the total DFT energy (no corrections) is -4.044 eV per atom. The value obtained for the density is 6.2 g cm⁻³. The density of states at the Fermi level is 8.55 states/eV per cell.



Which formula does entry 4 have? AcMgNi2H6